Record 1
A crystal of LiZr2AgP relaxed with PBEsol, computed with SCAN.

CIF file:
```
data_LiZr2AgP
_chemical_formula_sum 'Li1 Zr2 Ag1 P1'
_space_group_name_H-M_alt 'P 4/m m m'
_space_group_IT_number 123
_space_group_name_Hall '-P 4 2'
_cell_length_a 4.893
_cell_length_b 4.893
_cell_length_c 4.606
_cell_angle_alpha 90.00
_cell_angle_beta 90.00
_cell_angle_gamma 90.00
loop_
_atom_site_label
_atom_site_type_symbol
_atom_site_fract_x
_atom_site_fract_y
_atom_site_fract_z
_atom_site_occupancy
Li1 Li 0.000 0.000 0.000 1
Zr1 Zr 0.000 0.500 0.500 1
Ag1 Ag 0.500 0.500 0.000 1
P1 P 0.500 0.500 0.500 1
```

Calculated values
Formation enthalpy at 0 K in meV per atom: -30.1
DOS(E_F) in states/eV/cell: 5.0
Magnetization in μB per atom: 0.000



Record 2
A crystal of LiZrAgP2 relaxed with PBEsol, computed with SCAN.

CIF file:
```
data_LiZrAgP2
_chemical_formula_sum 'Li1 Zr1 Ag1 P2'
_space_group_name_H-M_alt 'P 4/m m m'
_space_group_IT_number 123
_space_group_name_Hall '-P 4 2'
_cell_length_a 4.912
_cell_length_b 4.912
_cell_length_c 5.236
_cell_angle_alpha 90.00
_cell_angle_beta 90.00
_cell_angle_gamma 90.00
loop_
_atom_site_label
_atom_site_type_symbol
_atom_site_fract_x
_atom_site_fract_y
_atom_site_fract_z
_atom_site_occupancy
Li1 Li 0.000 0.000 0.000 1
Zr1 Zr 0.000 0.000 0.500 1
Ag1 Ag 0.500 0.500 0.000 1
P1 P 0.000 0.500 0.500 1
```

Calculated values
Formation enthalpy at 0 K in meV per atom: 516.2
DOS(E_F) in states/eV/cell: 1.7
Magnetization in μB per atom: 0.154



Record 3
A crystal of LiAgPb2 relaxed with PBEsol, computed with SCAN.

CIF file:
```
data_LiAgPb2
_chemical_formula_sum 'Li1 Ag1 Pb2'
_space_group_name_H-M_alt 'P 4 m m'
_space_group_IT_number 99
_cell_length_a 3.514
_cell_length_b 3.514
_cell_length_c 7.277
_cell_angle_alpha 90.00
_cell_angle_beta 90.00
_cell_angle_gamma 90.00
loop_
_space_group_symop_operation_xyz
'x,y,z'
'-y,x,z'
'-x,-y,z'
'y,-x,z'
'-x,y,z'
'y,x,z'
'x,-y,z'
'-y,-x,z'
loop_
_atom_site_label
_atom_site_type_symbol
_atom_site_fract_x
_atom_site_fract_y
_atom_site_fract_z
_atom_site_occupancy
Li1 Li 0.000 0.000 0.000 1
Ag1 Ag 0.500 0.500 0.829 1
Pb1 Pb 0.000 0.000 0.577 1
Pb2 Pb 0.500 0.500 0.247 1
```

Calculated values
Formation enthalpy at 0 K in meV per atom: -79.2
DOS(E_F) in states/eV/cell: 1.4
Magnetization in μB per atom: 0.000



Record 4
A crystal of LiAgPb2 relaxed with PBEsol, computed with SCAN.

CIF file:
```
data_LiAgPb2
_chemical_formula_sum 'Li1 Ag1 Pb2'
_space_group_name_H-M_alt 'P 4/m m m'
_space_group_IT_number 123
_space_group_name_Hall '-P 4 2'
_cell_length_a 3.556
_cell_length_b 3.556
_cell_length_c 7.097
_cell_angle_alpha 90.00
_cell_angle_beta 90.00
_cell_angle_gamma 90.00
loop_
_atom_site_label
_atom_site_type_symbol
_atom_site_fract_x
_atom_site_fract_y
_atom_site_fract_z
_atom_site_occupancy
Li1 Li 0.000 0.000 0.000 1
Ag1 Ag 0.000 0.000 0.500 1
Pb1 Pb 0.500 0.500 0.254 1
```

Calculated values
Formation enthalpy at 0 K in meV per atom: -114.2
DOS(E_F) in states/eV/cell: 1.0
Magnetization in μB per atom: 0.000



Record 5
A crystal of LiAgPb2 relaxed with PBEsol, computed with SCAN.

CIF file:
```
data_LiAgPb2
_chemical_formula_sum 'Li2 Ag2 Pb4'
_space_group_name_H-M_alt 'I m m 2'
_space_group_IT_number 44
_cell_length_a 3.757
_cell_length_b 4.697
_cell_length_c 10.244
_cell_angle_alpha 90.00
_cell_angle_beta 90.00
_cell_angle_gamma 90.00
loop_
_space_group_symop_operation_xyz
'x,y,z'
'-x,-y,z'
'-x,y,z'
'x,-y,z'
'x+1/2,y+1/2,z+1/2'
'-x+1/2,-y+1/2,z+1/2'
'-x+1/2,y+1/2,z+1/2'
'x+1/2,-y+1/2,z+1/2'
loop_
_atom_site_label
_atom_site_type_symbol
_atom_site_fract_x
_atom_site_fract_y
_atom_site_fract_z
_atom_site_occupancy
Li1 Li 0.000 0.000 0.000 1
Ag1 Ag 0.000 0.500 0.288 1
Pb1 Pb 0.000 0.000 0.529 1
Pb2 Pb 0.000 0.500 0.761 1
```

Calculated values
Formation enthalpy at 0 K in meV per atom: -97.7
DOS(E_F) in states/eV/cell: 2.6
Magnetization in μB per atom: 0.000



Record 6
A crystal of LiAgPb2 relaxed with PBEsol, computed with SCAN.

CIF file:
```
data_LiAgPb2
_chemical_formula_sum 'Li2 Ag2 Pb4'
_space_group_name_H-M_alt 'I -4 m 2'
_space_group_IT_number 119
_space_group_name_Hall 'I -4 -2'
_cell_length_a 4.336
_cell_length_b 4.336
_cell_length_c 9.601
_cell_angle_alpha 90.00
_cell_angle_beta 90.00
_cell_angle_gamma 90.00
loop_
_atom_site_label
_atom_site_type_symbol
_atom_site_fract_x
_atom_site_fract_y
_atom_site_fract_z
_atom_site_occupancy
Li1 Li 0.000 0.000 0.000 1
Ag1 Ag 0.000 0.500 0.750 1
Pb1 Pb 0.000 0.000 0.500 1
Pb2 Pb 0.000 0.500 0.250 1
```

Calculated values
Formation enthalpy at 0 K in meV per atom: -104.4
DOS(E_F) in states/eV/cell: 2.7
Magnetization in μB per atom: 0.000



Record 7
A crystal of LiAgPb2 relaxed with PBEsol, computed with SCAN.

CIF file:
```
data_LiAgPb2
_chemical_formula_sum 'Li2 Ag2 Pb4'
_space_group_name_H-M_alt 'C 1 m 1'
_space_group_IT_number 8
_cell_length_a 11.044
_cell_length_b 3.353
_cell_length_c 5.114
_cell_angle_alpha 90.00
_cell_angle_beta 108.80
_cell_angle_gamma 90.00
loop_
_space_group_symop_operation_xyz
'x,y,z'
'x,-y,z'
'x+1/2,y+1/2,z'
'x+1/2,-y+1/2,z'
loop_
_atom_site_label
_atom_site_type_symbol
_atom_site_fract_x
_atom_site_fract_y
_atom_site_fract_z
_atom_site_occupancy
Li1 Li 0.000 0.000 0.000 1
Ag1 Ag 0.293 0.000 0.694 1
Pb1 Pb 0.033 0.500 0.521 1
Pb2 Pb 0.255 0.500 0.164 1
```

Calculated values
Formation enthalpy at 0 K in meV per atom: -107.6
DOS(E_F) in states/eV/cell: 2.6
Magnetization in μB per atom: 0.000



Record 8
A crystal of LiAgPb2 relaxed with PBEsol, computed with SCAN.

CIF file:
```
data_LiAgPb2
_chemical_formula_sum 'Li3 Ag3 Pb6'
_space_group_name_H-M_alt 'R -3 m'
_space_group_IT_number 166
_space_group_name_Hall '-R 3 2"'
_cell_length_a 3.3993
_cell_length_b 3.3993
_cell_length_c 27.4563
_cell_angle_alpha 90.00
_cell_angle_beta 90.00
_cell_angle_gamma 120.00
loop_
_atom_site_label
_atom_site_type_symbol
_atom_site_fract_x
_atom_site_fract_y
_atom_site_fract_z
_atom_site_occupancy
Li1 Li 0.0000 0.0000 0.0000 1
Ag1 Ag 0.0000 0.0000 0.5000 1
Pb1 Pb 0.0000 0.0000 0.2491 1
```

Calculated values
Formation enthalpy at 0 K in meV per atom: -68.4
DOS(E_F) in states/eV/cell: 3.4
Magnetization in μB per atom: 0.000



Record 9
A crystal of LiAgPb2 relaxed with PBEsol, computed with SCAN.

CIF file:
```
data_LiAgPb2
_chemical_formula_sum 'Li1 Ag1 Pb2'
_space_group_name_H-M_alt 'P 4/m m m'
_space_group_IT_number 123
_space_group_name_Hall '-P 4 2'
_cell_length_a 4.967
_cell_length_b 4.967
_cell_length_c 3.632
_cell_angle_alpha 90.00
_cell_angle_beta 90.00
_cell_angle_gamma 90.00
loop_
_atom_site_label
_atom_site_type_symbol
_atom_site_fract_x
_atom_site_fract_y
_atom_site_fract_z
_atom_site_occupancy
Li1 Li 0.000 0.000 0.000 1
Ag1 Ag 0.500 0.500 0.000 1
Pb1 Pb 0.000 0.500 0.500 1
```

Calculated values
Formation enthalpy at 0 K in meV per atom: -118.3
DOS(E_F) in states/eV/cell: 1.5
Magnetization in μB per atom: 0.000



Record 10
A crystal of LiAg2Pb2 relaxed with PBEsol, computed with SCAN.

CIF file:
```
data_LiAg2Pb2
_chemical_formula_sum 'Li2 Ag4 Pb4'
_space_group_name_H-M_alt 'P 4/m b m'
_space_group_IT_number 127
_space_group_name_Hall '-P 4 2ab'
_cell_length_a 7.288
_cell_length_b 7.288
_cell_length_c 4.200
_cell_angle_alpha 90.00
_cell_angle_beta 90.00
_cell_angle_gamma 90.00
loop_
_atom_site_label
_atom_site_type_symbol
_atom_site_fract_x
_atom_site_fract_y
_atom_site_fract_z
_atom_site_occupancy
Li1 Li 0.000 0.000 0.000 1
Ag1 Ag 0.134 0.366 0.000 1
Pb1 Pb 0.172 0.672 0.500 1
```

Calculated values
Formation enthalpy at 0 K in meV per atom: -18.9
DOS(E_F) in states/eV/cell: 2.9
Magnetization in μB per atom: 0.000



Record 11
A crystal of LiAgPb2 relaxed with PBEsol, computed with SCAN.

CIF file:
```
data_LiAgPb2
_chemical_formula_sum 'Li2 Ag2 Pb4'
_space_group_name_H-M_alt 'C 1 2/m 1'
_space_group_IT_number 12
_cell_length_a 9.378
_cell_length_b 3.378
_cell_length_c 5.876
_cell_angle_alpha 90.00
_cell_angle_beta 101.83
_cell_angle_gamma 90.00
loop_
_space_group_symop_operation_xyz
'x,y,z'
'-x,-y,-z'
'-x,y,-z'
'x,-y,z'
'x+1/2,y+1/2,z'
'-x+1/2,-y+1/2,-z'
'-x+1/2,y+1/2,-z'
'x+1/2,-y+1/2,z'
loop_
_atom_site_label
_atom_site_type_symbol
_atom_site_fract_x
_atom_site_fract_y
_atom_site_fract_z
_atom_site_occupancy
Li1 Li 0.000 0.000 0.000 1
Ag1 Ag 0.000 0.500 0.500 1
Pb1 Pb 0.246 0.000 0.749 1
```

Calculated values
Formation enthalpy at 0 K in meV per atom: -89.8
DOS(E_F) in states/eV/cell: 3.0
Magnetization in μB per atom: 0.000



Record 12
A crystal of LiAgPb2 relaxed with PBEsol, computed with SCAN.

CIF file:
```
data_LiAgPb2
_chemical_formula_sum 'Li2 Ag2 Pb4'
_space_group_name_H-M_alt 'A m m 2'
_space_group_IT_number 38
_cell_length_a 4.582
_cell_length_b 3.599
_cell_length_c 10.853
_cell_angle_alpha 90.00
_cell_angle_beta 90.00
_cell_angle_gamma 90.00
loop_
_space_group_symop_operation_xyz
'x,y,z'
'-x,-y,z'
'-x,y,z'
'x,-y,z'
'x,y+1/2,z+1/2'
'-x,-y+1/2,z+1/2'
'-x,y+1/2,z+1/2'
'x,-y+1/2,z+1/2'
loop_
_atom_site_label
_atom_site_type_symbol
_atom_site_fract_x
_atom_site_fract_y
_atom_site_fract_z
_atom_site_occupancy
Li1 Li 0.000 0.000 0.000 1
Ag1 Ag 0.500 0.000 0.144 1
Pb1 Pb 0.000 0.000 0.728 1
Pb2 Pb 0.500 0.000 0.423 1
```

Calculated values
Formation enthalpy at 0 K in meV per atom: -105.9
DOS(E_F) in states/eV/cell: 3.0
Magnetization in μB per atom: 0.000



Record 13
A crystal of Li2AgRhPb relaxed with PBEsol, computed with SCAN.

CIF file:
```
data_Li2AgRhPb
_chemical_formula_sum 'Li2 Ag1 Rh1 Pb1'
_space_group_name_H-M_alt 'P 4/m m m'
_space_group_IT_number 123
_space_group_name_Hall '-P 4 2'
_cell_length_a 4.401
_cell_length_b 4.401
_cell_length_c 5.174
_cell_angle_alpha 90.00
_cell_angle_beta 90.00
_cell_angle_gamma 90.00
loop_
_atom_site_label
_atom_site_type_symbol
_atom_site_fract_x
_atom_site_fract_y
_atom_site_fract_z
_atom_site_occupancy
Li1 Li 0.000 0.500 0.000 1
Ag1 Ag 0.000 0.000 0.000 1
Rh1 Rh 0.500 0.500 0.500 1
Pb1 Pb 0.000 0.000 0.500 1
```

Calculated values
Formation enthalpy at 0 K in meV per atom: 537.0
DOS(E_F) in states/eV/cell: 1.9
Magnetization in μB per atom: 0.000



Record 14
A crystal of Li3AgPd relaxed with PBEsol, computed with SCAN.

CIF file:
```
data_Li3AgPd
_chemical_formula_sum 'Li3 Ag1 Pd1'
_space_group_name_H-M_alt 'P m -3 m'
_space_group_IT_number 221
_space_group_name_Hall '-P 4 2 3'
_cell_length_a 4.600
_cell_length_b 4.600
_cell_length_c 4.600
_cell_angle_alpha 90.00
_cell_angle_beta 90.00
_cell_angle_gamma 90.00
loop_
_atom_site_label
_atom_site_type_symbol
_atom_site_fract_x
_atom_site_fract_y
_atom_site_fract_z
_atom_site_occupancy
Li1 Li 0.000 0.000 0.500 1
Ag1 Ag 0.500 0.500 0.500 1
Pd1 Pd 0.000 0.000 0.000 1
```

Calculated values
Formation enthalpy at 0 K in meV per atom: 87.6
DOS(E_F) in states/eV/cell: 1.0
Magnetization in μB per atom: 0.000



Record 15
A crystal of Li2AgPd relaxed with PBEsol, computed with SCAN.

CIF file:
```
data_Li2AgPd
_chemical_formula_sum 'Li8 Ag4 Pd4'
_space_group_name_H-M_alt 'F m -3 m'
_space_group_IT_number 225
_space_group_name_Hall '-F 4 2 3'
_cell_length_a 6.016
_cell_length_b 6.016
_cell_length_c 6.016
_cell_angle_alpha 90.00
_cell_angle_beta 90.00
_cell_angle_gamma 90.00
loop_
_atom_site_label
_atom_site_type_symbol
_atom_site_fract_x
_atom_site_fract_y
_atom_site_fract_z
_atom_site_occupancy
Li1 Li 0.250 0.250 0.250 1
Ag1 Ag 0.000 0.000 0.000 1
Pd1 Pd 0.000 0.000 0.500 1
```

Calculated values
Formation enthalpy at 0 K in meV per atom: -320.1
DOS(E_F) in states/eV/cell: 3.9
Magnetization in μB per atom: 0.000



Record 16
A crystal of Li2AgPt relaxed with PBEsol, computed with SCAN.

CIF file:
```
data_Li2AgPt
_chemical_formula_sum 'Li4 Ag2 Pt2'
_space_group_name_H-M_alt 'C m m 2'
_space_group_IT_number 35
_cell_length_a 2.855
_cell_length_b 4.629
_cell_length_c 9.426
_cell_angle_alpha 90.00
_cell_angle_beta 90.00
_cell_angle_gamma 90.00
loop_
_space_group_symop_operation_xyz
'x,y,z'
'-x,-y,z'
'-x,y,z'
'x,-y,z'
'x+1/2,y+1/2,z'
'-x+1/2,-y+1/2,z'
'-x+1/2,y+1/2,z'
'x+1/2,-y+1/2,z'
loop_
_atom_site_label
_atom_site_type_symbol
_atom_site_fract_x
_atom_site_fract_y
_atom_site_fract_z
_atom_site_occupancy
Li1 Li 0.000 0.000 0.000 1
Li2 Li 0.000 0.500 0.286 1
Ag1 Ag 0.000 0.500 0.765 1
Pt1 Pt 0.000 0.000 0.503 1
```

Calculated values
Formation enthalpy at 0 K in meV per atom: -208.4
DOS(E_F) in states/eV/cell: 2.2
Magnetization in μB per atom: 0.000



Record 17
A crystal of Li2AgPt relaxed with PBEsol, computed with SCAN.

CIF file:
```
data_Li2AgPt
_chemical_formula_sum 'Li2 Ag1 Pt1'
_space_group_name_H-M_alt 'P m m 2'
_space_group_IT_number 25
_cell_length_a 2.702
_cell_length_b 4.137
_cell_length_c 5.236
_cell_angle_alpha 90.00
_cell_angle_beta 90.00
_cell_angle_gamma 90.00
loop_
_space_group_symop_operation_xyz
'x,y,z'
'-x,-y,z'
'-x,y,z'
'x,-y,z'
loop_
_atom_site_label
_atom_site_type_symbol
_atom_site_fract_x
_atom_site_fract_y
_atom_site_fract_z
_atom_site_occupancy
Li1 Li 0.000 0.000 0.000 1
Li2 Li 0.500 0.500 0.283 1
Ag1 Ag 0.500 0.500 0.764 1
Pt1 Pt 0.000 0.000 0.494 1
```

Calculated values
Formation enthalpy at 0 K in meV per atom: -359.3
DOS(E_F) in states/eV/cell: 1.1
Magnetization in μB per atom: 0.000



Record 18
A crystal of Li2AgPt relaxed with PBEsol, computed with SCAN.

CIF file:
```
data_Li2AgPt
_chemical_formula_sum 'Li4 Ag2 Pt2'
_space_group_name_H-M_alt 'C 1 2/m 1'
_space_group_IT_number 12
_cell_length_a 8.622
_cell_length_b 2.857
_cell_length_c 4.763
_cell_angle_alpha 90.00
_cell_angle_beta 101.80
_cell_angle_gamma 90.00
loop_
_space_group_symop_operation_xyz
'x,y,z'
'-x,-y,-z'
'-x,y,-z'
'x,-y,z'
'x+1/2,y+1/2,z'
'-x+1/2,-y+1/2,-z'
'-x+1/2,y+1/2,-z'
'x+1/2,-y+1/2,z'
loop_
_atom_site_label
_atom_site_type_symbol
_atom_site_fract_x
_atom_site_fract_y
_atom_site_fract_z
_atom_site_occupancy
Li1 Li 0.247 0.000 0.232 1
Ag1 Ag 0.000 0.000 0.500 1
Pt1 Pt 0.000 0.500 0.000 1
```

Calculated values
Formation enthalpy at 0 K in meV per atom: -390.9
DOS(E_F) in states/eV/cell: 2.1
Magnetization in μB per atom: 0.000



Record 19
A crystal of LiAg2Pt relaxed with PBEsol, computed with SCAN.

CIF file:
```
data_LiAg2Pt
_chemical_formula_sum 'Li2 Ag4 Pt2'
_space_group_name_H-M_alt 'C m m m'
_space_group_IT_number 65
_space_group_name_Hall '-C 2 2'
_cell_length_a 5.610
_cell_length_b 7.552
_cell_length_c 2.895
_cell_angle_alpha 90.00
_cell_angle_beta 90.00
_cell_angle_gamma 90.00
loop_
_atom_site_label
_atom_site_type_symbol
_atom_site_fract_x
_atom_site_fract_y
_atom_site_fract_z
_atom_site_occupancy
Li1 Li 0.000 0.000 0.000 1
Ag1 Ag 0.250 0.250 0.500 1
Pt1 Pt 0.000 0.500 0.000 1
```

Calculated values
Formation enthalpy at 0 K in meV per atom: -217.6
DOS(E_F) in states/eV/cell: 2.1
Magnetization in μB per atom: 0.000



Record 20
A crystal of Li2AgPt relaxed with PBEsol, computed with SCAN.

CIF file:
```
data_Li2AgPt
_chemical_formula_sum 'Li8 Ag4 Pt4'
_space_group_name_H-M_alt 'F -4 3 m'
_space_group_IT_number 216
_space_group_name_Hall 'F -4 2 3'
_cell_length_a 6.182
_cell_length_b 6.182
_cell_length_c 6.182
_cell_angle_alpha 90.00
_cell_angle_beta 90.00
_cell_angle_gamma 90.00
loop_
_atom_site_label
_atom_site_type_symbol
_atom_site_fract_x
_atom_site_fract_y
_atom_site_fract_z
_atom_site_occupancy
Li1 Li 0.000 0.000 0.000 1
Li2 Li 0.250 0.250 0.250 1
Ag1 Ag 0.000 0.000 0.500 1
Pt1 Pt 0.250 0.250 0.750 1
```

Calculated values
Formation enthalpy at 0 K in meV per atom: -362.2
DOS(E_F) in states/eV/cell: 2.5
Magnetization in μB per atom: 0.000